1.
An optimized crystal structure of Er2In2Ga. Source: Alexandria, functional GGA-PBE.

Properties
ΔH_f (0 K) = -0.449 eV/atom
E_tot = -39.75 eV per cell
symmetry = C2/m (12)

Lattice parameters (Å, degrees): 4.458 6.006 10.222 90.51 77.41 68.22
Atoms (fractional coordinates):
Er 0.068 0.752 0.112
Er 0.669 0.343 0.319
Er 0.932 0.248 0.888
Er 0.331 0.657 0.681
In 0.099 0.248 0.554
In 0.346 0.201 0.106
In 0.654 0.799 0.894
In 0.901 0.752 0.446
Ga 0.390 0.907 0.313
Ga 0.610 0.093 0.687

=====

2.
An optimized crystal structure of MgZn2ReN4. Source: Alexandria, functional GGA-PBE.

Properties
E_tot = -51.55 eV per cell
symmetry = I-42m (121)

Lattice parameters (Å, degrees): 4.710 4.710 5.700 114.40 114.40 90.01
Atoms (fractional coordinates):
Re 0.500 0.500 0.000
N 0.847 0.391 0.237
N 0.153 0.153 0.763
N 0.391 0.847 0.237
N 0.610 0.610 0.763
Zn 0.750 0.250 0.500
Zn 0.250 0.750 0.500
Mg 0.000 0.000 0.000

=====

3.
An optimized crystal structure of LiCrNi4. Source: Alexandria, functional GGA-PBE.

Properties
ΔH_f (0 K) = 0.086 eV/atom
E_tot = -34.14 eV per cell
symmetry = F-43m (216)

Lattice parameters (Å, degrees): 4.698 4.698 4.698 60.00 60.00 60.00
Atoms (fractional coordinates):
Ni 0.375 0.875 0.375
Ni 0.875 0.375 0.375
Ni 0.375 0.375 0.375
Ni 0.375 0.375 0.875
Cr 0.750 0.750 0.750
Li 0.000 0.000 0.000

=====

4.
An optimized crystal structure of MnCuTe2. Source: Alexandria, functional GGA-PBE.

Properties
E_tot = -19.68 eV per cell
symmetry = P4mm (99)

Lattice parameters (Å, degrees): 3.688 3.688 7.345 90.00 90.00 90.00
Atoms (fractional coordinates):
Cu 0.000 0.000 0.516
Te 0.000 0.000 0.875
Te 0.500 0.500 0.376
Mn 0.500 0.500 0.733

=====

5.
An optimized crystal structure of Ce2ScPa. Source: Alexandria, functional GGA-PBE.

Properties
ΔH_f (0 K) = 0.069 eV/atom
E_tot = -27.42 eV per cell
symmetry = P4/mmm (123)

Lattice parameters (Å, degrees): 3.308 3.308 9.515 90.00 90.00 90.00
Atoms (fractional coordinates):
Pa 0.500 0.500 0.500
Ce 0.000 0.000 0.255
Ce 0.000 0.000 0.745
Sc 0.500 0.500 0.000

=====

6.
An optimized crystal structure of Ca5Pm12Gd3. Source: Alexandria, functional GGA-PBE.

Properties
ΔH_f (0 K) = 0.873 eV/atom
E_tot = -367.20 eV per cell
symmetry = Ia-3d (230)

Lattice parameters (Å, degrees): 17.047 17.047 17.047 109.47 109.47 109.47
Atoms (fractional coordinates):
Gd 0.625 0.250 0.375
Gd 0.375 0.750 0.625
Gd 0.125 0.250 0.875
Gd 0.625 0.375 0.750
Gd 0.125 0.875 0.750
Gd 0.875 0.125 0.250
Gd 0.750 0.875 0.625
Gd 0.875 0.750 0.125
Gd 0.375 0.625 0.250
Gd 0.250 0.125 0.375
Gd 0.250 0.625 0.875
Gd 0.750 0.375 0.125
Pm 0.356 0.914 0.768
Pm 0.268 0.856 0.914
Pm 0.644 0.558 0.912
Pm 0.732 0.588 0.146
Pm 0.232 0.586 0.644
Pm 0.768 0.414 0.356
Pm 0.914 0.558 0.146
Pm 0.414 0.646 0.058
Pm 0.144 0.732 0.586
Pm 0.058 0.912 0.144
Pm 0.412 0.268 0.354
Pm 0.086 0.442 0.854
Pm 0.354 0.768 0.412
Pm 0.768 0.354 0.912
Pm 0.646 0.232 0.588
Pm 0.232 0.646 0.088
Pm 0.412 0.144 0.558
Pm 0.856 0.588 0.942
Pm 0.442 0.356 0.588
Pm 0.558 0.644 0.412
Pm 0.644 0.086 0.232
Pm 0.854 0.912 0.268
Pm 0.356 0.442 0.088
Pm 0.942 0.854 0.586
Pm 0.558 0.914 0.646
Pm 0.088 0.146 0.232
Pm 0.442 0.086 0.354
Pm 0.912 0.854 0.768
Pm 0.854 0.942 0.086
Pm 0.088 0.942 0.356
Pm 0.912 0.058 0.644
Pm 0.146 0.058 0.914
Pm 0.942 0.088 0.856
Pm 0.086 0.644 0.732
Pm 0.146 0.088 0.732
Pm 0.268 0.412 0.854
Pm 0.586 0.354 0.942
Pm 0.646 0.414 0.558
Pm 0.144 0.412 0.058
Pm 0.058 0.146 0.414
Pm 0.732 0.144 0.086
Pm 0.354 0.586 0.442
Pm 0.586 0.232 0.144
Pm 0.588 0.856 0.442
Pm 0.914 0.356 0.268
Pm 0.414 0.768 0.856
Pm 0.588 0.732 0.646
Pm 0.856 0.268 0.414
Ca 0.750 0.625 0.375
Ca 0.625 0.875 0.250
Ca 0.875 0.625 0.750
Ca 0.750 0.125 0.875
Ca 0.000 0.000 0.500
Ca 0.000 0.000 0.000
Ca 0.500 0.000 0.500
Ca 0.375 0.250 0.125
Ca 0.250 0.875 0.125
Ca 0.500 0.000 0.000
Ca 0.250 0.375 0.625
Ca 0.000 0.500 0.000
Ca 0.875 0.250 0.625
Ca 0.500 0.500 0.500
Ca 0.000 0.500 0.500
Ca 0.125 0.375 0.250
Ca 0.375 0.125 0.750
Ca 0.625 0.750 0.875
Ca 0.500 0.500 0.000
Ca 0.125 0.750 0.375

=====

7.
An optimized crystal structure of Pm6Sm4Tm. Source: Alexandria, functional GGA-PBE.

Properties
ΔH_f (0 K) = 0.114 eV/atom
E_tot = -101.18 eV per cell
symmetry = Cmcm (63)

Lattice parameters (Å, degrees): 5.917 5.691 25.788 90.00 90.00 121.32
Atoms (fractional coordinates):
Pm 0.500 0.000 0.500
Pm 0.556 0.111 0.750
Pm 0.118 0.235 0.317
Pm 0.205 0.410 0.605
Pm 0.118 0.235 0.183
Pm 0.795 0.590 0.395
Pm 0.882 0.765 0.817
Pm 0.882 0.765 0.683
Pm 0.500 0.000 0.000
Pm 0.795 0.590 0.105
Pm 0.444 0.889 0.250
Pm 0.205 0.410 0.895
Tm 0.217 0.434 0.750
Tm 0.783 0.566 0.250
Sm 0.551 0.102 0.623
Sm 0.146 0.293 0.456
Sm 0.854 0.707 0.956
Sm 0.146 0.293 0.044
Sm 0.551 0.102 0.877
Sm 0.854 0.707 0.544
Sm 0.449 0.898 0.123
Sm 0.449 0.898 0.377

=====

8.
An optimized crystal structure of SmPdPb2. Source: Alexandria, functional GGA-PBE.

Properties
ΔH_f (0 K) = -0.410 eV/atom
E_tot = -18.97 eV per cell
symmetry = P4/mmm (123)

Lattice parameters (Å, degrees): 4.580 4.665 4.665 90.00 90.00 90.00
Atoms (fractional coordinates):
Pb 0.000 0.500 0.000
Pb 0.000 0.000 0.500
Pd 0.500 0.000 0.000
Sm 0.500 0.500 0.500

=====

9.
An optimized crystal structure of CaTl8Hg6. Source: Alexandria, functional GGA-PBE.

Properties
ΔH_f (0 K) = -0.047 eV/atom
E_tot = -23.45 eV per cell
symmetry = R-3 (148)

Lattice parameters (Å, degrees): 8.967 8.967 8.473 58.05 58.05 60.00
Atoms (fractional coordinates):
Tl 0.784 0.115 0.651
Tl 0.216 0.885 0.349
Tl 0.322 0.322 0.035
Tl 0.885 0.550 0.349
Tl 0.450 0.784 0.651
Tl 0.678 0.678 0.965
Tl 0.550 0.216 0.349
Tl 0.115 0.450 0.651
Hg 0.717 0.388 0.826
Hg 0.388 0.069 0.826
Hg 0.283 0.612 0.174
Hg 0.931 0.283 0.174
Hg 0.069 0.717 0.826
Hg 0.612 0.931 0.174
Ca 0.000 0.000 0.000

=====

10.
An optimized crystal structure of TbTlAg3. Source: Alexandria, functional GGA-PBE.

Properties
ΔH_f (0 K) = -0.004 eV/atom
E_tot = -31.15 eV per cell
symmetry = Cmmm (65)

Lattice parameters (Å, degrees): 3.387 4.736 14.530 99.38 90.00 90.00
Atoms (fractional coordinates):
Ag 0.000 0.274 0.548
Ag 0.500 0.546 0.092
Ag 0.000 0.947 0.893
Ag 0.500 0.454 0.908
Ag 0.000 0.726 0.452
Ag 0.000 0.053 0.107
Tb 0.500 0.821 0.642
Tb 0.500 0.179 0.358
Tl 0.000 0.375 0.749
Tl 0.000 0.625 0.251

=====

11.
An optimized crystal structure of HfTcSeN2. Source: Alexandria, functional GGA-PBE.

Properties
E_tot = -38.63 eV per cell
symmetry = P4/mmm (123)

Lattice parameters (Å, degrees): 3.875 3.875 5.061 90.00 90.00 90.00
Atoms (fractional coordinates):
Se 0.000 0.000 0.500
N 0.000 0.500 0.000
N 0.500 0.000 0.000
Tc 0.000 0.000 0.000
Hf 0.500 0.500 0.500

=====

12.
An optimized crystal structure of Pr3NdTm12. Source: Alexandria, functional GGA-PBE.

Properties
ΔH_f (0 K) = 0.030 eV/atom
E_tot = -72.28 eV per cell
symmetry = P4/mmm (123)

Lattice parameters (Å, degrees): 5.012 5.012 20.039 90.00 90.00 90.00
Atoms (fractional coordinates):
Pr 0.000 0.000 0.500
Pr 0.000 0.000 0.750
Pr 0.000 0.000 0.250
Tm 0.000 0.500 0.125
Tm 0.500 0.000 0.125
Tm 0.500 0.500 0.500
Tm 0.500 0.000 0.625
Tm 0.000 0.500 0.375
Tm 0.500 0.500 0.000
Tm 0.500 0.000 0.375
Tm 0.500 0.500 0.250
Tm 0.500 0.500 0.750
Tm 0.000 0.500 0.625
Tm 0.500 0.000 0.875
Tm 0.000 0.500 0.875
Nd 0.000 0.000 0.000

=====

13.
An optimized crystal structure of AlF. Source: Alexandria, functional GGA-PBE.

Properties
E_tot = -56.52 eV per cell
symmetry = Pmn2_1 (31)

Lattice parameters (Å, degrees): 6.510 4.876 6.403 90.00 90.00 90.00
Atoms (fractional coordinates):
Al 0.776 0.819 0.185
Al 0.276 0.181 0.685
Al 0.000 0.817 0.819
Al 0.224 0.819 0.185
Al 0.724 0.181 0.685
Al 0.500 0.183 0.319
F 0.808 0.531 0.723
F 0.192 0.531 0.723
F 0.000 0.778 0.366
F 0.692 0.469 0.223
F 0.308 0.469 0.223
F 0.500 0.222 0.866

=====

14.
An optimized crystal structure of YZnSb. Source: Alexandria, functional GGA-PBE.

Properties
E_tot = -13.68 eV per cell
symmetry = P3m1 (156)

Lattice parameters (Å, degrees): 4.397 4.397 4.316 90.00 90.00 120.00
Atoms (fractional coordinates):
Y 0.667 0.333 0.374
Zn 0.333 0.667 0.703
Sb 0.000 0.000 0.924

=====

15.
An optimized crystal structure of TbTm2ReO8. Source: Alexandria, functional GGA-PBE.

Properties
E_tot = -99.58 eV per cell
symmetry = Cmmm (65)

Lattice parameters (Å, degrees): 5.000 4.998 6.706 90.00 90.00 90.40
Atoms (fractional coordinates):
O 0.689 0.690 0.500
O 0.271 0.270 0.000
O 0.816 0.185 0.793
O 0.729 0.730 0.000
O 0.311 0.310 0.500
O 0.816 0.185 0.207
O 0.184 0.815 0.207
O 0.184 0.815 0.793
Tb 0.000 0.000 0.500
Tm 0.500 0.500 0.747
Tm 0.500 0.500 0.253
Re 0.000 0.000 0.000

=====

16.
An optimized crystal structure of LiSm2Zn3Pd4. Source: Alexandria, functional GGA-PBE.

Properties
ΔH_f (0 K) = -0.611 eV/atom
E_tot = -42.06 eV per cell
symmetry = P-4m2 (115)

Lattice parameters (Å, degrees): 4.117 4.117 11.096 90.00 90.00 90.00
Atoms (fractional coordinates):
Zn 0.000 0.000 0.500
Zn 0.500 0.000 0.867
Zn 0.000 0.500 0.133
Sm 0.500 0.000 0.243
Sm 0.000 0.500 0.757
Pd 0.500 0.000 0.642
Pd 0.000 0.000 0.000
Pd 0.000 0.500 0.358
Pd 0.500 0.500 0.000
Li 0.500 0.500 0.500

=====

17.
An optimized crystal structure of LaCdS2. Source: Alexandria, functional GGA-PBE.

Properties
E_tot = -36.83 eV per cell
symmetry = I-42d (122)

Lattice parameters (Å, degrees): 6.258 6.258 7.929 66.76 66.76 90.00
Atoms (fractional coordinates):
S 0.617 0.125 0.250
S 0.375 0.383 0.750
S 0.133 0.625 0.250
S 0.875 0.867 0.750
La 0.000 0.000 0.000
La 0.750 0.250 0.500
Cd 0.500 0.500 0.000
Cd 0.250 0.750 0.500

=====

18.
An optimized crystal structure of RhPbF5. Source: Alexandria, functional GGA-PBE.

Properties
E_tot = -67.22 eV per cell
symmetry = C2/c (15)

Lattice parameters (Å, degrees): 5.954 5.954 7.883 70.56 70.56 72.86
Atoms (fractional coordinates):
Rh 0.000 0.000 0.000
Rh 0.000 0.000 0.500
F 0.078 0.922 0.250
F 0.705 0.271 0.469
F 0.295 0.729 0.531
F 0.792 0.751 0.619
F 0.208 0.249 0.381
F 0.249 0.208 0.881
F 0.271 0.705 0.969
F 0.922 0.078 0.750
F 0.751 0.792 0.119
F 0.729 0.295 0.031
Pb 0.537 0.463 0.750
Pb 0.463 0.537 0.250

=====

19.
An optimized crystal structure of PmHF. Source: Alexandria, functional GGA-PBE.

Properties
E_tot = -32.23 eV per cell
symmetry = I4/mmm (139)

Lattice parameters (Å, degrees): 3.752 3.752 6.601 73.44 73.45 90.02
Atoms (fractional coordinates):
H 0.654 0.095 0.609
H 0.154 0.594 0.608
Pm 0.542 0.482 0.833
Pm 0.266 0.207 0.384
F 0.404 0.844 0.108
F 0.904 0.344 0.108

=====

20.
An optimized crystal structure of RbBaNb. Source: Alexandria, functional GGA-PBE.

Properties
ΔH_f (0 K) = 0.737 eV/atom
E_tot = -21.50 eV per cell
symmetry = P1 (1)

Lattice parameters (Å, degrees): 9.996 7.232 4.537 90.06 99.02 102.16
Atoms (fractional coordinates):
Ba 0.097 0.999 0.611
Ba 0.942 0.454 0.098
Rb 0.617 0.858 0.781
Rb 0.458 0.311 0.268
Nb 0.270 0.728 0.161
Nb 0.227 0.584 0.705